1.
Here is a relaxed structure of FeCu2Ag from the Alexandria database. Energies are from PBE-GGA.

As for the energy of formation from the pure elements: 286 meV/atom. The calculation puts the raw total energy at -0.1687 hartree per atom. The value obtained for the offset from the most stable computed form is 0.47 eV/f.u. The crystal system is tetragonal. The total magnetization comes out at 6.0 μB/cell.

It has space group I-4m2 (No. 119), with a = 3.823 Å, b = 3.823 Å, c = 7.468 Å, α = 90.00°, β = 90.00° and γ = 90.00°. Symmetry generates all atoms from Fe at (0.000, 0.000, 0.000), Cu at (0.000, 0.000, 0.500), Cu at (0.000, 0.500, 0.250) and Ag at (0.000, 0.500, 0.750).

=====

2.
Here is a relaxed structure of CsNaTl2 from the Alexandria database. Energies are from PBE-GGA.

As for the energy of formation from the pure elements: 101 meV/atom. The calculation puts the raw total energy at -0.0597 hartree per atom. The value obtained for the offset from the most stable computed form is 0.74 eV/f.u. The crystal system is tetragonal. The total magnetization comes out at 0.0 μB/cell.

It has space group P4/mmm (No. 123), with a = 5.460 Å, b = 5.460 Å, c = 5.428 Å, α = 90.00°, β = 90.00° and γ = 90.00°. Symmetry generates all atoms from Cs at (0.000, 0.000, 0.000), Na at (0.500, 0.500, 0.000) and Tl at (0.000, 0.500, 0.500).

=====

3.
Here is a relaxed structure of NaTe2NO from the Alexandria database. Energies are from PBE-GGA.

The calculation puts the raw total energy at -0.0906 hartree per atom. Its energy relative to the elements, uncorrected is 1.7112 eV per atom. The value obtained for the offset from the most stable computed form is 4.52 eV/f.u. The crystal system is tetragonal. The total magnetization comes out at 4.2 μB/cell.

It has space group P4/mmm (No. 123), with a = 5.581 Å, b = 5.581 Å, c = 4.256 Å, α = 90.00°, β = 90.00° and γ = 90.00°. Symmetry generates all atoms from Na at (0.000, 0.000, 0.000), Te at (0.000, 0.500, 0.000), N at (0.000, 0.000, 0.500) and O at (0.500, 0.500, 0.500).

=====

Copy entry 1 word for word.
Here is a relaxed structure of FeCu2Ag from the Alexandria database. Energies are from PBE-GGA.

As for the energy of formation from the pure elements: 286 meV/atom. The calculation puts the raw total energy at -0.1687 hartree per atom. The value obtained for the offset from the most stable computed form is 0.47 eV/f.u. The crystal system is tetragonal. The total magnetization comes out at 6.0 μB/cell.

It has space group I-4m2 (No. 119), with a = 3.823 Å, b = 3.823 Å, c = 7.468 Å, α = 90.00°, β = 90.00° and γ = 90.00°. Symmetry generates all atoms from Fe at (0.000, 0.000, 0.000), Cu at (0.000, 0.000, 0.500), Cu at (0.000, 0.500, 0.250) and Ag at (0.000, 0.500, 0.750).

=====

Look up the raw total energy of the second one.
-0.0597 hartree per atom